Material: MnTlPbBr6
Method: DFT, PBE
State: optimized geometry

Calculated values
Volume (A^3/atom): 35.8
E_form (uncorrected) (eV/atom): -0.7673
ρ (g/cm3): 4.9
Spin magnetization (Bohr magnetons per cell): 8.00

Unit cell a=7.405 b=7.405 c=13.576 alpha=90.00 beta=90.00 gamma=120.00
Site moments in Bohr magnetons follow the coordinates.
Sites, in units of the cell vectors:
1 Mn 0.667 0.333 0.250  3.79
2 Mn 0.333 0.667 0.750  3.79
3 Tl 0.000 0.000 0.000  -0.01
4 Tl 0.000 0.000 0.500  -0.01
5 Pb 0.333 0.667 0.250  0.01
6 Pb 0.667 0.333 0.750  0.01
7 Br 0.659 0.610 0.138  -0.01
8 Br 0.952 0.341 0.138  -0.01
9 Br 0.341 0.952 0.638  -0.01
10 Br 0.048 0.659 0.862  -0.01
11 Br 0.390 0.341 0.362  -0.01
12 Br 0.952 0.610 0.362  -0.01
13 Br 0.610 0.952 0.862  -0.01
14 Br 0.659 0.048 0.362  -0.01
15 Br 0.048 0.390 0.638  -0.01
16 Br 0.390 0.048 0.138  -0.01
17 Br 0.610 0.659 0.638  -0.01
18 Br 0.341 0.390 0.862  -0.01



Material: Sr2SnGePt6
Method: DFT, PBE
State: optimized geometry

Calculated values
Volume (A^3/atom): 22.8
ρ (g/cm3): 11.2
Spin magnetization (Bohr magnetons per cell): 0.00
Raw total energy (eV/atom): -5.46

Unit cell a=6.894 b=6.674 c=7.260 alpha=58.85 beta=56.89 gamma=86.45
Sites, in units of the cell vectors:
1 Sr 0.713 0.285 0.580
2 Sr 0.287 0.715 0.420
3 Sn 0.000 0.000 0.000
4 Ge 0.500 0.500 0.000
5 Pt 0.241 0.164 0.486
6 Pt 0.841 0.757 0.888
7 Pt 0.267 0.742 0.851
8 Pt 0.733 0.258 0.149
9 Pt 0.159 0.243 0.112
10 Pt 0.759 0.836 0.514